DFT (PBE-GGA) results for an optimized crystal structure of MgTaAl2.

Properties
space group = P4/mmm, No. 123
magnetic moment = 0.00 μB per atom
calculated volume = 71.4 Å³/cell
total energy = -5.320 eV per atom
ΔH_f (0 K) = -0.3 eV per formula unit

Structure (CIF):
```
data_MgTaAl2
_cell_length_a 2.8625
_cell_length_b 2.8625
_cell_length_c 8.7110
_cell_angle_alpha 90.00
_cell_angle_beta 90.00
_cell_angle_gamma 90.00
_space_group_name_H-M_alt 'P 1'
_space_group_IT_number 1
loop_
_space_group_symop_operation_xyz
'x,y,z'
loop_
_atom_site_label
_atom_site_fract_x
_atom_site_fract_y
_atom_site_fract_z
Al1 0.0000 0.0000 0.5132
Al2 0.0000 0.0000 0.9868
Ta1 0.5000 0.5000 0.7500
Mg1 0.5000 0.5000 0.2500
```